Entry 1:
The following is a DFT calculation (PBE) of a relaxed HfPa2 crystal.

Cell: 8.367 8.367 8.367 Å, 60.00 60.00 60.00°
Fractional coordinates of all 6 atoms:
Pa 0.375 0.375 0.375
Pa 0.875 0.375 0.375
Pa 0.375 0.875 0.375
Pa 0.375 0.375 0.875
Hf 0.500 0.500 0.500
Hf 0.250 0.250 0.250

## Properties
DFT formation energy = 2934 meV/atom

Entry 2:
The following is a DFT calculation (PBE) of a relaxed AlCuAgMo crystal.

Cell: 4.439 4.439 4.439 Å, 60.00 60.00 60.00°
Fractional coordinates of all 4 atoms:
Ag 0.500 0.500 0.500
Mo 0.250 0.250 0.250
Cu 0.750 0.750 0.750
Al 0.000 0.000 0.000

## Properties
energy relative to the lowest polymorph listed for this composition = 0.0 meV per atom

Entry 3:
The following is a DFT calculation (PBE) of a relaxed CsCoTe2AuSe crystal.

Cell: 8.769 8.769 10.705 Å, 90.00 90.00 154.32°
Fractional coordinates of all 12 atoms:
Se 0.051 0.949 0.750
Se 0.949 0.051 0.250
Cs 0.245 0.755 0.250
Cs 0.755 0.245 0.750
Co 0.000 0.000 0.000
Co 0.000 0.000 0.500
Te 0.600 0.400 0.489
Te 0.400 0.600 0.989
Te 0.600 0.400 0.011
Te 0.400 0.600 0.511
Au 0.557 0.443 0.250
Au 0.443 0.557 0.750

Entry 4:
The following is a DFT calculation (PBE) of a relaxed Na4HfO4 crystal.

Cell: 5.868 5.892 8.812 Å, 82.67 71.32 68.43°
Fractional coordinates of all 18 atoms:
O 0.346 0.839 0.961
O 0.797 0.015 0.378
O 0.324 0.476 0.370
O 0.875 0.482 0.194
O 0.676 0.524 0.630
O 0.203 0.985 0.622
O 0.125 0.518 0.806
O 0.654 0.161 0.039
Na 0.887 0.282 0.805
Na 0.562 0.755 0.402
Na 0.113 0.718 0.195
Na 0.977 0.737 0.562
Na 0.741 0.760 0.993
Na 0.438 0.245 0.598
Na 0.259 0.240 0.007
Na 0.023 0.263 0.438
Hf 0.662 0.279 0.235
Hf 0.338 0.721 0.765

Entry 5:
The following is a DFT calculation (PBE) of a relaxed U2Tl2S5 crystal.

Cell: 8.793 8.793 7.519 Å, 90.00 90.00 50.63°
Fractional coordinates of all 18 atoms:
U 0.339 0.661 0.161
U 0.839 0.161 0.339
U 0.161 0.839 0.661
U 0.661 0.339 0.839
S 0.962 0.254 0.646
S 0.038 0.746 0.354
S 0.754 0.462 0.146
S 0.746 0.038 0.646
S 0.500 0.500 0.500
S 0.462 0.754 0.854
S 0.538 0.246 0.146
S 0.000 0.000 0.000
S 0.246 0.538 0.854
S 0.254 0.962 0.354
Tl 0.299 0.299 0.500
Tl 0.201 0.201 0.000
Tl 0.799 0.799 0.000
Tl 0.701 0.701 0.500

Entry 6:
The following is a DFT calculation (PBE) of a relaxed GdEr2In3PtAu2 crystal.

Cell: 3.951 7.716 7.716 Å, 120.13 90.00 90.00°
Fractional coordinates of all 9 atoms:
Gd 0.000 0.402 0.402
In 0.500 0.999 0.256
In 0.500 0.743 0.743
In 0.500 0.256 0.999
Er 0.000 0.600 0.000
Er 0.000 0.000 0.600
Pt 0.000 0.998 0.998
Au 0.500 0.669 0.332
Au 0.500 0.332 0.669

Entry 7:
The following is a DFT calculation (PBE) of a relaxed PrAlPdPt crystal.

Cell: 4.406 4.406 9.726 Å, 90.00 90.00 120.00°
Fractional coordinates of all 8 atoms:
Pd 0.333 0.667 0.174
Pd 0.333 0.667 0.826
Pr 0.333 0.667 0.500
Pr 0.667 0.333 0.000
Pt 0.667 0.333 0.685
Pt 0.667 0.333 0.315
Al 0.000 0.000 0.256
Al 0.000 0.000 0.744

Entry 8:
The following is a DFT calculation (PBE) of a relaxed U3Al crystal.

Cell: 4.774 4.774 4.774 Å, 60.00 60.00 60.00°
Fractional coordinates of all 4 atoms:
U 0.250 0.250 0.250
U 0.000 0.000 0.000
U 0.500 0.500 0.500
Al 0.750 0.750 0.750

Entry 9:
The following is a DFT calculation (PBE) of a relaxed Sr2NbIrN2O4 crystal.

Cell: 5.649 5.657 7.987 Å, 90.12 90.03 90.11°
Fractional coordinates of all 20 atoms:
N 0.740 0.757 0.497
N 0.248 0.233 0.999
N 0.475 0.529 0.748
N 0.751 0.769 0.000
Sr 0.998 0.500 0.749
Sr 0.997 0.491 0.252
Sr 0.497 0.015 0.745
Sr 0.490 0.004 0.252
O 0.537 0.461 0.252
O 0.041 0.961 0.750
O 0.764 0.263 0.536
O 0.243 0.741 0.466
O 0.263 0.238 0.499
O 0.238 0.742 0.046
O 0.967 0.042 0.250
O 0.762 0.257 0.961
Ir 0.999 0.999 0.998
Ir 0.506 0.508 0.508
Nb 0.986 0.987 0.499
Nb 0.496 0.504 0.991

## Properties
energy relative to the lowest polymorph listed for this composition = 33.0 meV per atom

Entry 10:
The following is a DFT calculation (PBE) of a relaxed GdTm2Ga2 crystal.

Cell: 8.349 8.349 8.349 Å, 138.49 138.49 60.16°
Fractional coordinates of all 10 atoms:
Ga 0.200 0.200 0.000
Ga 0.800 0.800 0.000
Ga 0.950 0.450 0.500
Ga 0.550 0.050 0.500
Tm 0.375 0.125 0.750
Tm 0.375 0.625 0.250
Tm 0.375 0.625 0.750
Tm 0.875 0.625 0.250
Gd 0.750 0.250 0.500
Gd 0.000 0.000 0.000

Entry 11:
The following is a DFT calculation (PBE) of a relaxed Dy2CBrF crystal.

Cell: 3.668 3.668 8.233 Å, 90.00 90.00 120.00°
Fractional coordinates of all 5 atoms:
Dy 0.667 0.333 0.364
Dy 0.000 0.000 0.691
F 0.667 0.333 0.807
C 0.333 0.667 0.519
Br 0.000 0.000 0.119

Entry 12:
The following is a DFT calculation (PBE) of a relaxed CuTcBiPd crystal.

Cell: 4.569 4.569 4.569 Å, 60.00 60.00 60.00°
Fractional coordinates of all 4 atoms:
Tc 0.250 0.250 0.250
Cu 0.750 0.750 0.750
Bi 0.000 0.000 0.000
Pd 0.500 0.500 0.500

## Properties
energy relative to the lowest polymorph listed for this composition = 0.0 meV per atom

Total DFT energy (no corrections) values, unit eV per atom, following the record order: -6.715; -4.955; -3.687; -6.035; -6.391; -4.676; -5.935; -9.281; -7.507; -4.213; -6.231; -5.487.